w:
Computed, not measured: crystalline Ge2IrW at its relaxed geometry at the PBE level of DFT.

Cell lengths 7.016, 7.016, 5.672 Å; angles 51.80, 51.80, 90.00 degrees
Positions (direct):
Ge (0.644, 0.125, 0.250)
Ge (0.106, 0.625, 0.250)
Ge (0.375, 0.356, 0.750)
Ge (0.875, 0.894, 0.750)
Ir (0.000, 0.000, 0.000)
Ir (0.750, 0.250, 0.500)
W (0.500, 0.500, 0.000)
W (0.250, 0.750, 0.500)

Summary:
Size of the total moment (Bohr magnetons per cell): 0.000

x:
Computed, not measured: crystalline Ge2IrW at its relaxed geometry at the PBE level of DFT.

Cell lengths 2.909, 2.909, 9.274 Å; angles 80.98, 80.98, 60.00 degrees
Positions (direct):
Ge (0.095, 0.095, 0.716)
Ge (0.905, 0.905, 0.284)
Ir (0.500, 0.500, 0.500)
W (0.000, 0.000, 0.000)

Summary:
Size of the total moment (Bohr magnetons per cell): 0.000

The data favor x; the next most stable structure lies 327 meV/atom above it.

w:
Computed, not measured: crystalline GeIr3W at its relaxed geometry at the PBE level of DFT.

Cell lengths 4.502, 4.502, 4.502 Å; angles 90.00, 90.00, 90.00 degrees
Positions (direct):
Ge (0.000, 0.000, 0.000)
Ir (0.000, 0.500, 0.000)
Ir (0.000, 0.000, 0.500)
Ir (0.500, 0.000, 0.000)
W (0.500, 0.500, 0.500)

Summary:
Size of the total moment (Bohr magnetons per cell): 2.983

x:
Computed, not measured: crystalline GeIr3W at its relaxed geometry at the PBE level of DFT.

Cell lengths 4.777, 4.777, 4.777 Å; angles 90.00, 90.00, 90.00 degrees
Positions (direct):
Ge (0.500, 0.500, 0.500)
Ir (0.000, 0.500, 0.000)
Ir (0.000, 0.000, 0.500)
Ir (0.500, 0.000, 0.000)
W (0.000, 0.000, 0.000)

Summary:
Size of the total moment (Bohr magnetons per cell): 0.000

The data favor w; the next most stable structure lies 102 meV/atom above it.

w:
Computed, not measured: crystalline GeIrW3 at its relaxed geometry at the PBE level of DFT.

Cell lengths 4.780, 4.780, 4.780 Å; angles 90.00, 90.00, 90.00 degrees
Positions (direct):
Ge (0.500, 0.500, 0.500)
Ir (0.000, 0.000, 0.000)
W (0.000, 0.500, 0.000)
W (0.000, 0.000, 0.500)
W (0.500, 0.000, 0.000)

Summary:
Size of the total moment (Bohr magnetons per cell): 0.232

x:
Computed, not measured: crystalline GeIrW3 at its relaxed geometry at the PBE level of DFT.

Cell lengths 4.520, 4.520, 4.520 Å; angles 90.00, 90.00, 90.00 degrees
Positions (direct):
Ge (0.000, 0.000, 0.000)
Ir (0.500, 0.500, 0.500)
W (0.000, 0.500, 0.000)
W (0.000, 0.000, 0.500)
W (0.500, 0.000, 0.000)

Summary:
Size of the total moment (Bohr magnetons per cell): 0.000

The data favor x; the next most stable structure lies 197 meV/atom above it.

w:
Computed, not measured: crystalline Y2Ge5Ir3 at its relaxed geometry at the PBE level of DFT.

Cell lengths 4.226, 6.898, 12.568 Å; angles 90.00, 99.68, 90.00 degrees
Positions (direct):
Y (0.480, 0.740, 0.960)
Y (0.176, 0.742, 0.352)
Y (0.824, 0.242, 0.648)
Y (0.520, 0.240, 0.040)
Ge (0.400, 0.378, 0.799)
Ge (0.291, 0.520, 0.583)
Ge (0.709, 0.020, 0.417)
Ge (0.118, 0.263, 0.236)
Ge (0.294, 0.945, 0.589)
Ge (0.952, 0.077, 0.904)
Ge (0.706, 0.445, 0.411)
Ge (0.882, 0.763, 0.764)
Ge (0.048, 0.577, 0.096)
Ge (0.600, 0.878, 0.201)
Ir (0.778, 0.732, 0.557)
Ir (0.606, 0.510, 0.212)
Ir (0.054, 0.958, 0.108)
Ir (0.222, 0.232, 0.443)
Ir (0.946, 0.458, 0.892)
Ir (0.394, 0.010, 0.788)

Summary:
Size of the total moment (Bohr magnetons per cell): 0.000

x:
Computed, not measured: crystalline Y2Ge5Ir3 at its relaxed geometry at the PBE level of DFT.

Cell lengths 8.392, 8.392, 8.392 Å; angles 137.76, 104.24, 90.78 degrees
Positions (direct):
Y (0.641, 0.366, 0.275)
Y (0.359, 0.634, 0.725)
Y (0.909, 0.134, 0.775)
Y (0.091, 0.866, 0.225)
Ge (0.436, 0.098, 0.338)
Ge (0.564, 0.902, 0.662)
Ge (0.240, 0.402, 0.838)
Ge (0.760, 0.598, 0.162)
Ge (0.277, 0.527, 0.250)
Ge (0.723, 0.973, 0.250)
Ge (0.723, 0.473, 0.750)
Ge (0.277, 0.027, 0.750)
Ge (0.000, 0.250, 0.250)
Ge (0.000, 0.750, 0.750)
Ir (0.253, 0.142, 0.111)
Ir (0.747, 0.858, 0.889)
Ir (0.969, 0.358, 0.611)
Ir (0.031, 0.642, 0.389)
Ir (0.500, 0.250, 0.750)
Ir (0.500, 0.750, 0.250)

Summary:
Size of the total moment (Bohr magnetons per cell): 0.000

The data favor x; the next most stable structure lies 20 meV/atom above it.

w:
Computed, not measured: crystalline Y2Ge4Ir3 at its relaxed geometry at the PBE level of DFT.

Cell lengths 5.730, 7.453, 8.008 Å; angles 90.00, 110.96, 90.00 degrees
Positions (direct):
Y (0.110, 0.591, 0.220)
Y (0.890, 0.409, 0.780)
Y (0.390, 0.091, 0.780)
Y (0.610, 0.909, 0.220)
Ge (0.691, 0.750, 0.883)
Ge (0.809, 0.250, 0.117)
Ge (0.309, 0.250, 0.117)
Ge (0.191, 0.750, 0.883)
Ge (0.182, 0.971, 0.363)
Ge (0.818, 0.029, 0.637)
Ge (0.318, 0.471, 0.637)
Ge (0.682, 0.529, 0.363)
Ir (0.000, 0.000, 0.000)
Ir (0.500, 0.500, 0.000)
Ir (0.524, 0.750, 0.547)
Ir (0.976, 0.250, 0.453)
Ir (0.476, 0.250, 0.453)
Ir (0.024, 0.750, 0.547)

Summary:
Size of the total moment (Bohr magnetons per cell): 0.000

x:
Computed, not measured: crystalline Y2Ge4Ir3 at its relaxed geometry at the PBE level of DFT.

Cell lengths 5.595, 5.595, 6.783 Å; angles 101.81, 101.81, 120.26 degrees
Positions (direct):
Y (0.631, 0.631, 0.262)
Y (0.369, 0.369, 0.738)
Ge (0.007, 0.673, 0.680)
Ge (0.673, 0.007, 0.680)
Ge (0.993, 0.327, 0.320)
Ge (0.327, 0.993, 0.320)
Ir (0.500, 0.000, 0.000)
Ir (0.000, 0.000, 0.000)
Ir (0.000, 0.500, 0.000)

Summary:
Size of the total moment (Bohr magnetons per cell): 0.000

The data favor w; the next most stable structure lies 101 meV/atom above it.

w:
Computed, not measured: crystalline ZnGe3Ir at its relaxed geometry at the PBE level of DFT.

Cell lengths 4.836, 4.836, 4.836 Å; angles 90.00, 90.00, 90.00 degrees
Positions (direct):
Ge (0.000, 0.500, 0.000)
Ge (0.000, 0.000, 0.500)
Ge (0.500, 0.000, 0.000)
Ir (0.000, 0.000, 0.000)
Zn (0.500, 0.500, 0.500)

Summary:
Size of the total moment (Bohr magnetons per cell): 0.000

x:
Computed, not measured: crystalline ZnGe3Ir at its relaxed geometry at the PBE level of DFT.

Cell lengths 4.656, 4.656, 4.656 Å; angles 90.00, 90.00, 90.00 degrees
Positions (direct):
Ge (0.000, 0.500, 0.000)
Ge (0.000, 0.000, 0.500)
Ge (0.500, 0.000, 0.000)
Ir (0.500, 0.500, 0.500)
Zn (0.000, 0.000, 0.000)

Summary:
Size of the total moment (Bohr magnetons per cell): 0.000

The data favor w; the next most stable structure lies 679 meV/atom above it.